Entry 1:
Material: TaCrBi2Sb
Method: DFT, PBE
State: relaxed

a b c (Å): 5.4938 5.4938 5.2964
angles (deg): 90.00 90.00 90.00
Element x y z (fractional)
Ta: 0.0000 0.0000 0.0000
Cr: 0.5000 0.5000 0.5000
Bi: 0.0000 0.5000 0.0000
Bi: 0.5000 0.0000 0.0000
Sb: 0.0000 0.0000 0.5000

Properties
Uncorrected formation energy, meV/atom: 1436
Energy, eV for the cell shown: -26.2

Entry 2:
Material: CrBiSb2Te
Method: DFT, PBE
State: relaxed

a b c (Å): 5.1489 5.1489 5.0216
angles (deg): 90.00 90.00 90.00
Element x y z (fractional)
Cr: 0.0000 0.0000 0.0000
Bi: 0.5000 0.5000 0.5000
Sb: 0.0000 0.5000 0.0000
Sb: 0.5000 0.0000 0.0000
Te: 0.0000 0.0000 0.5000

Properties
E above lowest polymorph, meV per atom: 0
Uncorrected formation energy, meV/atom: 425
Energy, eV for the cell shown: -22.8

Entry 3:
Material: CrBiSb2Te
Method: DFT, PBE
State: relaxed

a b c (Å): 5.7824 5.7824 5.9756
angles (deg): 90.00 90.00 90.00
Element x y z (fractional)
Cr: 0.0000 0.0000 0.0000
Bi: 0.5000 0.5000 0.5000
Sb: 0.0000 0.5000 0.5000
Sb: 0.5000 0.0000 0.5000
Te: 0.5000 0.5000 0.0000

Properties
E above lowest polymorph, meV per atom: 735
Uncorrected formation energy, meV/atom: 1159
Energy, eV for the cell shown: -19.1

Entry 4:
Material: TlCr2BiSb
Method: DFT, PBE
State: relaxed

a b c (Å): 5.3236 5.3236 5.8490
angles (deg): 90.00 90.00 90.00
Element x y z (fractional)
Tl: 0.0000 0.0000 0.0000
Cr: 0.0000 0.5000 0.5000
Cr: 0.5000 0.0000 0.5000
Bi: 0.0000 0.0000 0.5000
Sb: 0.5000 0.5000 0.0000

Properties
Uncorrected formation energy, meV/atom: 1037
Energy, eV for the cell shown: -24.4

Entry 5:
Material: Sc2CrBi2
Method: DFT, PBE
State: relaxed

a b c (Å): 7.2625 7.2625 4.2916
angles (deg): 90.00 90.00 90.00
Element x y z (fractional)
Sc: 0.1595 0.3405 0.0000
Sc: 0.3405 0.8405 0.0000
Sc: 0.6595 0.1595 0.0000
Sc: 0.8405 0.6595 0.0000
Cr: 0.0000 0.0000 0.5000
Cr: 0.5000 0.5000 0.5000
Bi: 0.1534 0.6534 0.5000
Bi: 0.3466 0.1534 0.5000
Bi: 0.6534 0.8466 0.5000
Bi: 0.8466 0.3466 0.5000

Properties
DFT formation energy, eV per formula unit: 0.18
Energy, eV for the cell shown: -59.7

Entry 6:
Material: Sc2CrBi
Method: DFT, PBE
State: relaxed

a b c (Å): 6.3224 6.3224 6.3224
angles (deg): 104.24 104.24 120.53
Element x y z (fractional)
Sc: 0.0992 0.6250 0.9742
Sc: 0.3750 0.3492 0.4742
Sc: 0.6508 0.1250 0.0258
Sc: 0.8750 0.9008 0.5258
Cr: 0.0000 0.0000 0.0000
Cr: 0.7500 0.2500 0.5000
Bi: 0.2500 0.7500 0.5000
Bi: 0.5000 0.5000 0.0000

Properties
DFT formation energy, eV per formula unit: 1.05
Energy, eV for the cell shown: -50.2